w) ## BaTePb (meta-GGA SCAN)

Data for BaTePb at its PBEsol-relaxed geometry.

Unit cell a=5.372 b=5.372 c=4.248 alpha=90.00 beta=90.00 gamma=120.00
Fractional positions:
Ba1 0.000 0.000 0.000
Te1 0.667 0.333 0.500
Pb1 0.333 0.667 0.500

Computed properties:
D(E_F) (states/eV per cell): 1.68
M_tot (μB per atom): 0.000
ρ (kg/m³): 7385
SG: No. 187

=====

x) ## BaTePb (meta-GGA SCAN)

Data for BaTePb at its PBEsol-relaxed geometry.

Unit cell a=7.821 b=7.821 c=7.821 alpha=90.00 beta=90.00 gamma=90.00
Fractional positions:
Ba1 0.000 0.000 0.000
Ba2 0.000 0.500 0.500
Ba3 0.500 0.000 0.500
Ba4 0.500 0.500 0.000
Te1 0.000 0.000 0.500
Te2 0.000 0.500 0.000
Te3 0.500 0.000 0.000
Te4 0.500 0.500 0.500
Pb1 0.250 0.250 0.750
Pb2 0.250 0.750 0.250
Pb3 0.750 0.250 0.250
Pb4 0.750 0.750 0.750

Computed properties:
D(E_F) (states/eV per cell): 10.87
M_tot (μB per atom): 0.000
ρ (kg/m³): 6556
SG: No. 216

=====

Question: which arrangement is favored energetically? Ranking from most to least stable: w), x).